# 1
# GaBiP2S

A relaxed GaBiP2S crystal (GGA-PBE, Alexandria).

Results
- E_form (uncorrected) (eV/atom) = 0.5249
- ΔE to the lowest computed polymorph (eV per formula unit) = 0.00
- spin magnetization (μB/f.u.) = 0.00

a = 4.7610 Å, b = 4.7610 Å, c = 4.7071 Å
α = 90.00°, β = 90.00°, γ = 90.00°
With the nearest neighbours (Å) after each atom.
Atoms (fractional coordinates):
1 Ga 0.0000 0.0000 0.0000  2 S 2.35, 4 P 2.38
2 Bi 0.5000 0.5000 0.5000  8 P 3.35, 4 S 3.37
3 P 0.0000 0.5000 0.0000  2 Ga 2.38
4 P 0.5000 0.0000 0.0000  2 Ga 2.38
5 S 0.0000 0.0000 0.5000  2 Ga 2.35

---

# 2
# MgBe2P

A relaxed MgBe2P crystal (GGA-PBE, Alexandria).

Results
- ΔE to the lowest computed polymorph (eV per formula unit) = 0.16
- spin magnetization (μB/f.u.) = 0.00

a = 3.4263 Å, b = 3.4245 Å, c = 4.8639 Å
α = 90.00°, β = 90.15°, γ = 90.00°
With the nearest neighbours (Å) after each atom.
Atoms (fractional coordinates):
1 Mg 0.0000 0.0000 0.0000  4 Be 2.77-2.78, 4 P 2.79-2.80
2 Be 0.9998 0.5000 0.4495  2 P 2.14
3 Be 0.4998 0.0000 0.4492  2 P 2.14
4 P 0.5007 0.5000 0.7146  4 Be 2.14

---

# 3
# YU2Fe9

A relaxed YU2Fe9 crystal (GGA-PBE, Alexandria).

Results
- spin magnetization (μB/f.u.) = 12.71

a = 8.6986 Å, b = 8.6986 Å, c = 8.6986 Å
α = 32.99°, β = 32.99°, γ = 32.99°
With the nearest neighbours (Å) after each atom.
Atoms (fractional coordinates):
1 Y 0.0000 0.0000 0.0000  18 Fe 2.85-3.19
2 U 0.1474 0.1474 0.1474  12 Fe 2.89-2.95, 3 U 3.01
3 U 0.8526 0.8526 0.8526  12 Fe 2.89-2.95, 3 U 3.01
4 Fe 0.0828 0.5813 0.5813  7 Fe 2.46-2.53
5 Fe 0.3333 0.3333 0.3333  6 Fe 2.47
6 Fe 0.4187 0.4187 0.9172  7 Fe 2.46-2.53
7 Fe 0.4187 0.9172 0.4187  7 Fe 2.46-2.53
8 Fe 0.5000 0.5000 0.5000  6 Fe 2.53
9 Fe 0.5813 0.0828 0.5813  7 Fe 2.46-2.53
10 Fe 0.5813 0.5813 0.0828  7 Fe 2.46-2.53
11 Fe 0.6667 0.6667 0.6667  6 Fe 2.47
12 Fe 0.9172 0.4187 0.4187  7 Fe 2.46-2.53

---

# 4
# Pm2HCl4

A relaxed Pm2HCl4 crystal (GGA-PBE, Alexandria).

Results
- spin magnetization (μB/f.u.) = 1.00

a = 8.9633 Å, b = 8.9633 Å, c = 8.9633 Å
α = 30.74°, β = 30.74°, γ = 30.74°
With the nearest neighbours (Å) after each atom.
Atoms (fractional coordinates):
1 Pm 0.0820 0.0820 0.0820  1 H 2.10
2 Pm 0.9180 0.9180 0.9180  1 H 2.10
3 H 0.0000 0.0000 0.0000  2 Pm 2.10
4 Cl 0.2054 0.2054 0.2054  4 Pm 2.98-3.16
5 Cl 0.3843 0.3843 0.3843  3 Pm 2.86, 3 H 3.04
6 Cl 0.6157 0.6157 0.6157  3 Pm 2.86, 3 H 3.04
7 Cl 0.7946 0.7946 0.7946  4 Pm 2.98-3.16

---

Respective electronic total energy values: -0.1413; -0.1318; -0.3250; -0.1681 hartree per atom.